No. 1
The following is a GGA-PBE calculation of ScBeAg3 after structural relaxation, from the Alexandria database.

a = 5.159 Å, b = 5.159 Å, c = 5.159 Å
α = 90.00°, β = 90.00°, γ = 90.00°
Fractional coordinates of all 5 atoms:
Sc (0.000, 0.000, 0.000)
Be (0.500, 0.500, 0.500)
Ag (0.500, 0.000, 0.000)
Ag (0.000, 0.000, 0.500)
Ag (0.000, 0.500, 0.000)

Computed properties:
Its total energy is -11.79 eV/f.u. The value obtained for the theoretical density is 4.57 Mg/m³. The space group is Pm-3m.

No. 2
The following is a GGA-PBE calculation of ErPu2H after structural relaxation, from the Alexandria database.

a = 3.683 Å, b = 3.683 Å, c = 6.647 Å
α = 73.92°, β = 73.92°, γ = 60.00°
Fractional coordinates of all 4 atoms:
Pu (0.304, 0.304, 0.087)
Pu (0.696, 0.696, 0.913)
Er (0.500, 0.500, 0.500)
H (0.000, 0.000, 0.000)

Computed properties:
Its total energy is -35.82 eV/f.u. The value obtained for the theoretical density is 14.73 Mg/m³. The space group is R-3m.

No. 3
The following is a GGA-PBE calculation of PmBiRh after structural relaxation, from the Alexandria database.

a = 4.877 Å, b = 4.876 Å, c = 6.572 Å
α = 90.00°, β = 90.00°, γ = 90.00°
Fractional coordinates of all 6 atoms:
Pm (0.272, 0.598, 0.236)
Pm (0.773, 0.099, 0.736)
Bi (0.273, 0.599, 0.736)
Bi (0.772, 0.099, 0.236)
Rh (0.772, 0.599, 0.486)
Rh (0.772, 0.599, 0.987)

Computed properties:
Its total energy is -17.83 eV/f.u. The value obtained for the theoretical density is 9.71 Mg/m³. The space group is P4_2/mmc.

No. 4
The following is a GGA-PBE calculation of Si2AgRh after structural relaxation, from the Alexandria database.

a = 4.239 Å, b = 4.239 Å, c = 5.977 Å
α = 60.35°, β = 60.35°, γ = 43.37°
Fractional coordinates of all 4 atoms:
Si (0.699, 0.699, 0.792)
Si (0.942, 0.942, 0.204)
Ag (0.557, 0.557, 0.484)
Rh (0.302, 0.302, 0.020)

Computed properties:
The calculation puts the uncorrected formation energy at -169 meV per atom. The value obtained for the theoretical density is 7.10 Mg/m³. The space group is Cm.

No. 5
The following is a GGA-PBE calculation of HoLuBePt after structural relaxation, from the Alexandria database.

a = 4.840 Å, b = 4.840 Å, c = 4.840 Å
α = 60.00°, β = 60.00°, γ = 60.00°
Fractional coordinates of all 4 atoms:
Be (0.250, 0.250, 0.250)
Ho (0.500, 0.500, 0.500)
Lu (0.000, 0.000, 0.000)
Pt (0.750, 0.750, 0.750)

Computed properties:
Its total energy is -21.25 eV/f.u. The value obtained for the theoretical density is 11.27 Mg/m³. The space group is F-43m.

No. 6
The following is a GGA-PBE calculation of Tb3HoS after structural relaxation, from the Alexandria database.

a = 5.316 Å, b = 5.316 Å, c = 5.316 Å
α = 90.00°, β = 90.00°, γ = 90.00°
Fractional coordinates of all 5 atoms:
Ho (0.500, 0.500, 0.500)
Tb (0.000, 0.500, 0.000)
Tb (0.000, 0.000, 0.500)
Tb (0.500, 0.000, 0.000)
S (0.000, 0.000, 0.000)

Computed properties:
The calculation puts the uncorrected formation energy at -655 meV per atom. The value obtained for the theoretical density is 7.45 Mg/m³. The space group is Pm-3m.

No. 7
The following is a GGA-PBE calculation of SrAcSe2 after structural relaxation, from the Alexandria database.

a = 4.395 Å, b = 4.395 Å, c = 15.049 Å
α = 90.00°, β = 90.00°, γ = 120.00°
Fractional coordinates of all 8 atoms:
Ac (0.000, 0.000, 0.000)
Ac (0.000, 0.000, 0.500)
Se (0.667, 0.333, 0.876)
Se (0.333, 0.667, 0.376)
Se (0.667, 0.333, 0.624)
Se (0.333, 0.667, 0.124)
Sr (0.667, 0.333, 0.250)
Sr (0.333, 0.667, 0.750)

Computed properties:
The calculation puts the uncorrected formation energy at -1903 meV per atom. The value obtained for the theoretical density is 6.23 Mg/m³. The space group is P6_3/mmc.

No. 8
The following is a GGA-PBE calculation of Al2Zn9Ga after structural relaxation, from the Alexandria database.

a = 3.974 Å, b = 3.974 Å, c = 11.904 Å
α = 90.00°, β = 90.00°, γ = 90.00°
Fractional coordinates of all 12 atoms:
Zn (0.500, 0.000, 0.500)
Zn (0.500, 0.000, 0.831)
Zn (0.500, 0.500, 0.000)
Zn (0.000, 0.500, 0.831)
Zn (0.500, 0.000, 0.169)
Zn (0.000, 0.500, 0.169)
Zn (0.000, 0.500, 0.500)
Zn (0.500, 0.500, 0.665)
Zn (0.500, 0.500, 0.335)
Al (0.000, 0.000, 0.665)
Al (0.000, 0.000, 0.335)
Ga (0.000, 0.000, 0.000)

Computed properties:
Its total energy is -21.63 eV/f.u. The value obtained for the theoretical density is 6.29 Mg/m³. The space group is P4/mmm.

No. 9
The following is a GGA-PBE calculation of SmEr2TlC after structural relaxation, from the Alexandria database.

a = 5.054 Å, b = 4.879 Å, c = 4.879 Å
α = 90.00°, β = 90.00°, γ = 90.00°
Fractional coordinates of all 5 atoms:
Tl (0.500, 0.500, 0.500)
Er (0.000, 0.500, 0.000)
Er (0.000, 0.000, 0.500)
C (0.000, 0.000, 0.000)
Sm (0.500, 0.000, 0.000)

Computed properties:
Its total energy is -27.59 eV/f.u. The value obtained for the theoretical density is 9.68 Mg/m³. The space group is P4/mmm.

Question: What is the theoretical density in the sixth record?
Answer: 7.45 Mg/m³